No. 1
Compound: MnV3Ni2P6O24
Source: the Alexandria database
Functional: meta-GGA SCAN
Structure: PBEsol geometry

Volume: 420.3 Å³/f.u.
DOS at the Fermi energy: 36.44 states/eV/cell
Raw formation energy: -228 kJ/mol of atoms

CIF file:
```
data_MnV3Ni2P6O24
_chemical_formula_sum 'Mn3 V9 Ni6 P18 O72'
_cell_length_a 8.4907
_cell_length_b 8.4907
_cell_length_c 20.1939
_cell_angle_alpha 90.00
_cell_angle_beta 90.00
_cell_angle_gamma 120.00
_symmetry_space_group_name_H-M 'R 3'
_symmetry_Int_Tables_number 146
_symmetry_space_group_name_Hall 'R 3'
loop_
_atom_site_label
_atom_site_type_symbol
_atom_site_fract_x
_atom_site_fract_y
_atom_site_fract_z
Mn1 Mn 0.0000 0.0000 0.0000
V1 V 0.0000 0.0000 0.2803
V2 V 0.0000 0.0000 0.4986
V3 V 0.0000 0.0000 0.7807
Ni1 Ni 0.0000 0.0000 0.1402
Ni2 Ni 0.0000 0.0000 0.6390
P1 P 0.0005 0.2923 0.8905
P2 P 0.0006 0.7084 0.3901
O1 O 0.0059 0.1994 0.9534
O2 O 0.0150 0.1800 0.5632
O3 O 0.0175 0.8221 0.4514
O4 O 0.0264 0.8381 0.0674
O5 O 0.1450 0.4743 0.4943
O6 O 0.1457 0.6698 0.9944
O7 O 0.1687 0.6827 0.3819
O8 O 0.1706 0.4857 0.8816
```

---

No. 2
Compound: Mn2V3NiP6O24
Source: the Alexandria database
Functional: meta-GGA SCAN
Structure: PBEsol geometry

Volume: 429.1 Å³/f.u.
DOS at the Fermi energy: 6.81 states/eV/cell
Raw formation energy: -234 kJ/mol of atoms

CIF file:
```
data_Mn2V3NiP6O24
_chemical_formula_sum 'Mn6 V9 Ni3 P18 O72'
_cell_length_a 8.5045
_cell_length_b 8.5045
_cell_length_c 20.5502
_cell_angle_alpha 90.00
_cell_angle_beta 90.00
_cell_angle_gamma 120.00
_symmetry_space_group_name_H-M 'R 3'
_symmetry_Int_Tables_number 146
_symmetry_space_group_name_Hall 'R 3'
loop_
_atom_site_label
_atom_site_type_symbol
_atom_site_fract_x
_atom_site_fract_y
_atom_site_fract_z
Mn1 Mn 0.0000 0.0000 0.0000
Mn2 Mn 0.0000 0.0000 0.4979
V1 V 0.0000 0.0000 0.1456
V2 V 0.0000 0.0000 0.6426
V3 V 0.0000 0.0000 0.8569
Ni1 Ni 0.0000 0.0000 0.3607
P1 P 0.0003 0.2913 0.2532
P2 P 0.0026 0.7106 0.7510
O1 O 0.9998 0.1884 0.1908
O2 O 0.0041 0.8135 0.6893
O3 O 0.0059 0.1758 0.9202
O4 O 0.0219 0.8274 0.8111
O5 O 0.0309 0.8364 0.4278
O6 O 0.1376 0.4609 0.9821
O7 O 0.1714 0.6860 0.7455
O8 O 0.1739 0.4828 0.2452
```

---

No. 3
Compound: Mn3Ni2P6WO24
Source: the Alexandria database
Functional: meta-GGA SCAN
Structure: PBEsol geometry

Volume: 432.9 Å³/f.u.
DOS at the Fermi energy: 34.62 states/eV/cell
Raw formation energy: -213 kJ/mol of atoms

CIF file:
```
data_Mn3Ni2P6WO24
_chemical_formula_sum 'Mn9 Ni6 P18 W3 O72'
_cell_length_a 8.5813
_cell_length_b 8.5813
_cell_length_c 20.3661
_cell_angle_alpha 90.00
_cell_angle_beta 90.00
_cell_angle_gamma 120.00
_symmetry_space_group_name_H-M 'R 3'
_symmetry_Int_Tables_number 146
_symmetry_space_group_name_Hall 'R 3'
loop_
_atom_site_label
_atom_site_type_symbol
_atom_site_fract_x
_atom_site_fract_y
_atom_site_fract_z
Mn1 Mn 0.0000 0.0000 0.0000
Mn2 Mn 0.0000 0.0000 0.2178
Mn3 Mn 0.0000 0.0000 0.5003
Ni1 Ni 0.0000 0.0000 0.3595
Ni2 Ni 0.0000 0.0000 0.8616
P1 P 0.9998 0.2974 0.6066
P2 P 0.0097 0.7152 0.1077
W1 W 0.0000 0.0000 0.7189
O1 O 0.0003 0.7994 0.1711
O2 O 0.0063 0.8270 0.7785
O3 O 0.0177 0.1921 0.6677
O4 O 0.0286 0.1901 0.2883
O5 O 0.1380 0.4686 0.2125
O6 O 0.1428 0.6730 0.7122
O7 O 0.1660 0.4877 0.6010
O8 O 0.1729 0.6871 0.0989
```

---

No. 4
Compound: Sc2MnNiO6
Source: the Alexandria database
Functional: meta-GGA SCAN
Structure: PBEsol geometry

Volume: 96.1 Å³/f.u.
Raw formation energy: -276 kJ/mol of atoms

CIF file:
```
data_Sc2MnNiO6
_chemical_formula_sum 'Sc4 Mn2 Ni2 O12'
_cell_length_a 4.953
_cell_length_b 5.334
_cell_length_c 8.720
_cell_angle_alpha 90.00
_cell_angle_beta 123.42
_cell_angle_gamma 90.00
_symmetry_space_group_name_H-M 'P 1 21/c 1'
_symmetry_Int_Tables_number 14
loop_
_symmetry_equiv_pos_as_xyz
'x,y,z'
'-x,-y,-z'
'-x,y+1/2,-z+1/2'
'x,-y+1/2,z+1/2'
loop_
_atom_site_label
_atom_site_type_symbol
_atom_site_fract_x
_atom_site_fract_y
_atom_site_fract_z
Sc1 Sc 0.217 0.080 0.246
Mn1 Mn 0.500 0.000 0.000
Ni1 Ni 0.000 0.000 0.500
O1 O 0.128 0.184 0.937
O2 O 0.251 0.700 0.928
O3 O 0.395 0.055 0.757
```

---

No. 5
Compound: Ti2MnNiO6
Source: the Alexandria database
Functional: meta-GGA SCAN
Structure: PBEsol geometry

Volume: 101.3 Å³/f.u.
Raw formation energy: -260 kJ/mol of atoms

CIF file:
```
data_Ti2MnNiO6
_chemical_formula_sum 'Ti6 Mn3 Ni3 O18'
_cell_length_a 5.0366
_cell_length_b 5.0366
_cell_length_c 13.8315
_cell_angle_alpha 90.00
_cell_angle_beta 90.00
_cell_angle_gamma 120.00
_symmetry_space_group_name_H-M 'R 3'
_symmetry_Int_Tables_number 146
_symmetry_space_group_name_Hall 'R 3'
loop_
_atom_site_label
_atom_site_type_symbol
_atom_site_fract_x
_atom_site_fract_y
_atom_site_fract_z
Ti1 Ti 0.0000 0.0000 0.0000
Ti2 Ti 0.0000 0.0000 0.2914
Mn1 Mn 0.0000 0.0000 0.4994
Ni1 Ni 0.0000 0.0000 0.7954
O1 O 0.0194 0.6464 0.5636
O2 O 0.0283 0.3526 0.0575
```

---

No. 6
Compound: MnV4NiO12
Source: the Alexandria database
Functional: meta-GGA SCAN
Structure: PBEsol geometry

Volume: 234.0 Å³/f.u.
Raw formation energy: -230 kJ/mol of atoms

CIF file:
```
data_MnV4NiO12
_chemical_formula_sum 'Mn2 V8 Ni2 O24'
_cell_length_a 9.859
_cell_length_b 8.856
_cell_length_c 5.737
_cell_angle_alpha 90.00
_cell_angle_beta 110.87
_cell_angle_gamma 90.00
_symmetry_space_group_name_H-M 'C 1 2 1'
_symmetry_Int_Tables_number 5
loop_
_symmetry_equiv_pos_as_xyz
'x,y,z'
'-x,y,-z'
'x+1/2,y+1/2,z'
'-x+1/2,y+1/2,-z'
loop_
_atom_site_label
_atom_site_type_symbol
_atom_site_fract_x
_atom_site_fract_y
_atom_site_fract_z
Mn1 Mn 0.000 0.000 0.000
V1 V 0.202 0.490 0.493
V2 V 0.204 0.676 0.999
Ni1 Ni 0.000 0.165 0.500
O1 O 0.111 0.161 0.879
O2 O 0.113 0.001 0.396
O3 O 0.136 0.570 0.192
O4 O 0.142 0.313 0.478
O5 O 0.142 0.598 0.696
O6 O 0.149 0.854 0.985
```

---

No. 7
Compound: Y4Mn3NiO12
Source: the Alexandria database
Functional: meta-GGA SCAN
Structure: PBEsol geometry

Volume: 214.0 Å³/f.u.
DOS at the Fermi energy: 1.37 states/eV/cell
Raw formation energy: -292 kJ/mol of atoms

CIF file:
```
data_Y4Mn3NiO12
_chemical_formula_sum 'Y4 Mn3 Ni1 O12'
_cell_length_a 5.185
_cell_length_b 5.551
_cell_length_c 7.436
_cell_angle_alpha 90.24
_cell_angle_beta 90.37
_cell_angle_gamma 90.00
_symmetry_space_group_name_H-M 'P -1'
_symmetry_Int_Tables_number 2
loop_
_symmetry_equiv_pos_as_xyz
'x,y,z'
'-x,-y,-z'
loop_
_atom_site_label
_atom_site_type_symbol
_atom_site_fract_x
_atom_site_fract_y
_atom_site_fract_z
Y1 Y 0.019 0.422 0.244
Y2 Y 0.479 0.928 0.245
Mn1 Mn 0.000 0.000 0.500
Mn2 Mn 0.500 0.500 0.000
Mn3 Mn 0.500 0.500 0.500
Ni1 Ni 0.000 0.000 0.000
O1 O 0.106 0.969 0.743
O2 O 0.195 0.697 0.444
O3 O 0.198 0.686 0.049
O4 O 0.303 0.196 0.445
O5 O 0.319 0.205 0.051
O6 O 0.396 0.467 0.750
```

---

No. 8
Compound: Mn4Zn3Ni2O12
Source: the Alexandria database
Functional: meta-GGA SCAN
Structure: PBEsol geometry

Volume: 207.0 Å³/f.u.
DOS at the Fermi energy: 21.18 states/eV/cell
Raw formation energy: -180 kJ/mol of atoms

CIF file:
```
data_Mn4Zn3Ni2O12
_chemical_formula_sum 'Mn16 Zn12 Ni8 O48'
_cell_length_a 8.190
_cell_length_b 8.224
_cell_length_c 12.881
_cell_angle_alpha 90.00
_cell_angle_beta 107.40
_cell_angle_gamma 90.00
_symmetry_space_group_name_H-M 'C 1 2/c 1'
_symmetry_Int_Tables_number 15
loop_
_symmetry_equiv_pos_as_xyz
'x,y,z'
'-x,-y,-z'
'-x,y,-z+1/2'
'x,-y,z+1/2'
'x+1/2,y+1/2,z'
'-x+1/2,-y+1/2,-z'
'-x+1/2,y+1/2,-z+1/2'
'x+1/2,-y+1/2,z+1/2'
loop_
_atom_site_label
_atom_site_type_symbol
_atom_site_fract_x
_atom_site_fract_y
_atom_site_fract_z
Mn1 Mn 0.000 0.000 0.000
Mn2 Mn 0.081 0.246 0.165
Mn3 Mn 0.250 0.250 0.000
Zn1 Zn 0.000 0.129 0.750
Zn2 Zn 0.167 0.381 0.586
Ni1 Ni 0.168 0.495 0.333
O1 O 0.013 0.238 0.006
O2 O 0.076 0.475 0.171
O3 O 0.081 0.013 0.155
O4 O 0.147 0.248 0.322
O5 O 0.188 0.257 0.843
O6 O 0.235 0.017 0.003
```